LiGaTc: single point on PBEsol structure, SCAN.

The structure in POSCAR format:
```
LiGaTc
1.0
-1.676 0.879 -2.241
-1.168 -2.684 -0.180
-7.199 2.700 6.444
Li Ga Tc
2 2 2
Cartesian
-7.109 1.105 5.751
-1.512 0.692 -0.517
-6.201 2.451 3.680
-2.420 -0.654 1.554
-3.895 1.586 1.616
-4.726 0.211 3.618
```

Symmetry = P4/nmm
Total DFT energy (no corrections) = -18.185 eV per atom

=====

La2Y: single point on PBEsol structure, SCAN.

The structure in POSCAR format:
```
La2Y
1.0
3.591 0.000 0.000
0.000 5.123 0.000
-1.796 -2.561 5.343
La Y
2 1
Cartesian
1.796 2.561 3.486
0.000 0.000 1.857
1.796 2.561 0.000
```

Symmetry = Immm
Relative energy among the computed polymorphs = 0.000 eV per atom

=====

Ti4Si4Ni: single point on PBEsol structure, SCAN.

The structure in POSCAR format:
```
Ti4Si4Ni
1.0
5.043 0.000 0.000
0.000 12.667 0.000
0.000 0.000 15.518
Ti Ni Si
32 8 32
Cartesian
2.540 5.792 9.841
5.025 5.792 9.841
1.261 12.115 10.543
1.261 9.672 14.689
3.782 2.300 13.213
3.782 3.339 8.589
1.261 6.723 14.691
1.261 2.276 4.498
3.782 8.610 3.262
3.782 5.944 0.828
1.261 12.278 6.932
2.540 0.541 2.082
2.504 12.126 13.436
3.782 8.238 8.343
3.782 10.763 0.584
1.261 4.057 12.257
1.261 1.904 14.935
3.782 10.391 11.021
1.261 10.367 2.306
3.782 0.552 4.975
1.261 9.329 6.930
3.782 2.995 0.829
1.261 4.430 7.175
1.261 8.634 10.065
0.018 12.126 13.436
3.782 4.034 5.454
2.504 6.875 5.677
5.025 0.541 2.082
1.261 6.885 2.784
3.782 0.390 8.587
3.782 5.782 12.734
0.018 6.875 5.677
5.028 4.329 2.857
2.507 10.663 4.902
2.536 4.329 2.857
2.507 8.338 12.661
0.015 8.338 12.661
2.536 2.004 10.617
5.028 2.004 10.617
0.015 10.663 4.902
1.261 4.872 4.684
2.502 10.637 8.773
1.261 12.437 4.203
2.542 4.304 14.504
1.261 1.391 8.811
3.782 11.205 3.075
1.261 8.785 4.396
1.261 6.563 11.962
5.023 4.304 14.504
3.782 7.796 10.834
1.261 7.036 7.980
3.782 5.632 7.538
1.261 11.965 0.221
3.782 3.882 11.122
3.782 11.276 6.708
0.020 10.637 8.773
1.261 10.215 12.156
1.261 4.942 1.051
2.542 2.030 6.745
1.261 2.668 1.862
2.502 8.363 1.014
3.782 0.702 15.298
3.782 10.000 13.656
1.261 1.462 12.443
0.020 8.363 1.014
3.782 2.452 3.363
3.782 0.230 11.316
1.261 3.666 9.622
3.782 7.725 14.467
5.023 2.030 6.745
3.782 6.104 3.557
3.782 9.001 5.897
```

Symmetry = Pnma
Total DFT energy (no corrections) = -14.164 eV per atom